Record 1
GGA-PBE Cr2HgPt, optimized geometry; energy relative to the elements = 0.06 eV/atom; crystal system = tetragonal; M_tot = 0.004 μB per atom; E = -6.34 eV/atom
1.0
-3.125 -0.268 2.477
2.463 -0.933 3.007
2.846 2.991 3.914
Pt Cr Hg
1 2 1
Direct
0.000 0.000 0.500
0.000 0.000 0.000
0.500 0.500 0.000
0.500 0.500 0.500

=====

Record 2
GGA-PBE Pr4SiIrCl2, optimized geometry; crystal system = monoclinic; M_tot = 0.000 μB per atom; E_form (uncorrected) = -1.13 eV per atom; E = -5.77 eV/atom
1.0
4.165 0.000 0.000
0.000 7.578 -0.271
0.000 2.548 7.111
Pr Ir Si Cl
4 1 1 2
Direct
0.000 0.289 0.229
0.500 0.716 0.251
0.500 0.284 0.749
0.000 0.711 0.771
0.500 0.500 0.000
0.000 0.500 0.500
0.000 0.000 0.000
0.500 0.000 0.500

=====

Record 3
GGA-PBE CrAgRu2, optimized geometry; energy relative to the elements = 0.32 eV/atom; crystal system = tetragonal; M_tot = 0.000 μB per atom; polymorph energy (0 for the lowest one) = 0.095 eV per atom; E = -7.44 eV/atom
1.0
-2.370 -0.199 -1.288
0.389 -2.659 -0.305
-3.621 -1.316 6.865
Ag Ru Cr
1 2 1
Direct
0.500 0.500 0.250
0.000 0.000 0.533
0.000 0.000 0.967
0.500 0.500 0.750

=====

Record 4
GGA-PBE CuSiB, optimized geometry; crystal system = triclinic; M_tot = 0.000 μB per atom; E_form (uncorrected) = 0.19 eV per atom; E = -5.21 eV/atom
1.0
-2.699 -1.258 -1.770
1.677 -3.673 3.343
-4.471 2.255 1.663
B Si Cu
2 2 2
Direct
0.458 0.315 0.209
0.958 0.815 0.709
0.966 0.152 0.045
0.466 0.652 0.545
0.292 0.092 0.485
0.792 0.592 0.985

=====

Record 5
GGA-PBE NaPrNd2, optimized geometry; energy relative to the elements = 0.11 eV/atom; crystal system = trigonal; M_tot = 0.000 μB per atom; polymorph energy (0 for the lowest one) = 0.007 eV per atom; E = -3.80 eV/atom
1.0
-3.630 -0.496 0.208
-1.435 -3.324 -0.599
-0.640 -3.901 11.933
Pr Na Nd
1 1 2
Direct
0.500 0.500 0.500
0.667 0.667 0.000
0.247 0.247 0.258
0.086 0.086 0.742

=====

Record 6
GGA-PBE Cs4PuNp3S8, optimized geometry; crystal system = monoclinic; M_tot = 0.083 μB per atom; E_form (uncorrected) = -1.37 eV per atom; E = -6.97 eV/atom
1.0
-1.536 -8.095 1.250
8.991 -1.986 -1.811
-1.453 5.513 6.136
Np S Pu Cs
3 8 1 4
Direct
0.000 0.500 0.500
0.500 0.500 0.000
0.500 0.500 0.500
0.725 0.680 0.955
0.770 0.320 0.045
0.771 0.320 0.541
0.230 0.680 0.955
0.229 0.680 0.459
0.728 0.681 0.455
0.272 0.319 0.545
0.275 0.320 0.045
0.000 0.500 0.000
0.500 0.000 0.000
0.000 0.000 0.000
0.500 0.000 0.500
0.000 0.000 0.500

=====

Record 7
GGA-PBE Rb2NaHg10, optimized geometry; energy relative to the elements = -0.12 eV/atom; crystal system = orthorhombic; M_tot = 0.000 μB per atom; E = -0.60 eV/atom
1.0
6.576 0.000 0.000
0.000 12.352 0.000
0.000 0.000 12.028
Hg Rb Na
20 4 2
Direct
0.000 0.962 0.742
0.000 0.038 0.258
0.729 0.310 0.593
0.271 0.690 0.407
0.000 0.294 0.327
0.000 0.885 0.464
0.000 0.706 0.673
0.729 0.810 0.907
0.000 0.206 0.827
0.000 0.794 0.173
0.000 0.385 0.036
0.271 0.190 0.093
0.000 0.115 0.536
0.000 0.538 0.242
0.729 0.190 0.093
0.729 0.690 0.407
0.271 0.310 0.593
0.271 0.810 0.907
0.000 0.462 0.758
0.000 0.615 0.964
0.500 0.873 0.631
0.500 0.127 0.369
0.500 0.373 0.869
0.500 0.627 0.131
0.000 0.000 0.000
0.000 0.500 0.500

=====

Record 8
GGA-PBE Ba6SbP2Cl3, optimized geometry; crystal system = monoclinic; M_tot = 0.000 μB per atom; E_form (uncorrected) = -1.63 eV per atom; E = -4.30 eV/atom
1.0
4.768 0.000 0.000
0.000 9.490 0.402
-2.384 -2.673 10.030
P Ba Cl Sb
2 6 3 1
Direct
0.168 0.339 0.336
0.832 0.661 0.664
0.667 0.110 0.334
0.675 0.570 0.349
0.333 0.890 0.666
0.010 0.254 0.020
0.325 0.430 0.651
0.990 0.746 0.980
0.500 0.500 0.000
0.169 0.833 0.339
0.831 0.167 0.661
0.500 0.000 0.000